This record from the Alexandria database describes a geometry-optimized Ce2CdBi4 structure. The functional is PBE.

Structure (POSCAR):
```
Ce2CdBi4
1.0
4.578 0.000 0.000
0.000 4.578 0.000
0.000 0.000 10.516
Bi Ce Cd
4 2 1
direct
0.500 0.000 0.183
0.000 0.500 0.817
0.500 0.500 0.500
0.000 0.000 0.500
0.500 0.000 0.744
0.000 0.500 0.256
0.500 0.500 0.000
```

spin magnetization: 1.406 μB per formula unit
calculated formation energy: -0.494 eV/atom
N(E_F): 12.24 states/eV/f.u.

=====

This record from the Alexandria database describes a geometry-optimized CeCd2Bi structure. The functional is PBE.

Structure (POSCAR):
```
CeCd2Bi
1.0
5.139 0.000 0.000
0.000 4.581 0.000
0.000 0.000 4.581
Cd Ce Bi
2 1 1
direct
0.000 0.500 0.000
0.000 0.000 0.500
0.500 0.000 0.000
0.500 0.500 0.500
```

spin magnetization: 0.959 μB per formula unit
calculated formation energy: -0.388 eV/atom
N(E_F): 6.64 states/eV/f.u.

=====

Among the records above, which one has the lowest calculated formation energy?
Ce2CdBi4

=====

Which value of calculated formation energy does entry 2 give?
-0.388 eV/atom

=====

The lowest calculated formation energy belongs to which entry?
Ce2CdBi4